(1)
Below is a geometry-optimized VGaCo3 structure, with properties calculated at the PBE-GGA level.

Computed properties:
Energy above the most stable polymorph in this dataset, eV per formula unit: 0.00
ΔE_f, meV/atom: 388.1

```
VGaCo3
1.0
-3.6897 1.2569 2.5874
-2.8999 -4.3537 -2.0203
2.8541 -1.2300 4.6676
V Co Ga
2 6 2
direct
0.7500 0.6615 0.3385
0.2500 0.3385 0.6615
0.2500 0.3875 0.2391
0.7500 0.2159 0.7841
0.7500 0.2391 0.3875
0.2500 0.7609 0.6125
0.7500 0.6125 0.7609
0.2500 0.7841 0.2159
0.0000 0.0000 0.0000
0.5000 0.0000 0.0000
```

***

(2)
Below is a geometry-optimized V3GaCo structure, with properties calculated at the PBE-GGA level.

Computed properties:
Energy above the most stable polymorph in this dataset, eV per formula unit: 2.30
ΔE_f, meV/atom: 593.7

```
V3GaCo
1.0
-2.5064 2.8661 -2.0042
-2.2763 -3.2089 -1.7422
-2.6551 0.0454 3.3855
V Co Ga
3 1 1
direct
0.5000 0.0000 0.0000
0.0000 0.5000 0.0000
0.0000 0.0000 0.5000
0.0000 0.0000 0.0000
0.5000 0.5000 0.5000
```

***

(3)
Below is a geometry-optimized V5GaCo2 structure, with properties calculated at the PBE-GGA level.

Computed properties:
ΔE_f, meV/atom: 10.8

```
V5GaCo2
1.0
5.9812 0.0000 0.0000
0.0000 5.9812 0.0000
-2.9906 -2.9906 5.9029
Co Ga V
4 2 10
direct
0.8653 0.6347 0.0000
0.6347 0.1347 0.0000
0.1347 0.3653 0.0000
0.3653 0.8653 0.0000
0.7500 0.7500 0.5000
0.2500 0.2500 0.5000
0.8088 0.9977 0.3065
0.3088 0.8088 0.3065
0.0023 0.5023 0.6935
0.9977 0.4977 0.3065
0.1912 0.0023 0.6935
0.0000 0.0000 0.0000
0.5000 0.5000 0.0000
0.5023 0.6912 0.6935
0.4977 0.3088 0.3065
0.6912 0.1912 0.6935
```

***

(4)
Below is a geometry-optimized V12Ga6Co structure, with properties calculated at the PBE-GGA level.

Computed properties:
ΔE_f, meV/atom: -89.7

```
V12Ga6Co
1.0
-1.5386 0.3839 6.2053
-5.1064 -3.7514 -0.9338
3.4789 -5.2215 1.2859
V Ga Co
12 6 1
direct
0.4882 0.5672 0.1918
0.6219 0.9344 0.8572
0.8572 0.6219 0.9344
0.1428 0.3781 0.0656
0.3781 0.0656 0.1428
0.5118 0.4328 0.8082
0.1918 0.4882 0.5672
0.5672 0.1918 0.4882
0.0656 0.1428 0.3781
0.8082 0.5118 0.4328
0.9344 0.8572 0.6219
0.4328 0.8082 0.5118
0.7453 0.2657 0.1213
0.2547 0.7343 0.8787
0.8787 0.2547 0.7343
0.1213 0.7453 0.2657
0.7343 0.8787 0.2547
0.2657 0.1213 0.7453
0.0000 0.0000 0.0000
```

***

(5)
Below is a geometry-optimized VGa3Co structure, with properties calculated at the PBE-GGA level.

Computed properties:
ΔE_f, meV/atom: 900.0

```
VGa3Co
1.0
-1.3430 -0.0325 4.5087
4.1264 -1.9049 1.2154
1.8172 4.3015 0.5723
V Co Ga
1 1 3
direct
0.0000 0.0000 0.0000
0.5000 0.5000 0.5000
0.5000 0.0000 0.0000
0.0000 0.5000 0.0000
0.0000 0.0000 0.5000
```

***

(6)
Below is a geometry-optimized V2GaCo structure, with properties calculated at the PBE-GGA level.

Computed properties:
ΔE_f, meV/atom: -223.6

```
V2GaCo
1.0
3.0351 -0.0007 0.0000
0.0009 3.9393 0.0000
0.0000 0.0000 8.4352
V Co Ga
4 2 2
direct
0.2500 0.7500 0.5088
0.2500 0.7500 0.9912
0.7500 0.2500 0.0088
0.7500 0.2500 0.4912
0.7500 0.7501 0.7500
0.2500 0.2499 0.2500
0.2500 0.2501 0.7500
0.7500 0.7499 0.2500
```

***

(7)
Below is a geometry-optimized VGa2Co5 structure, with properties calculated at the PBE-GGA level.

Computed properties:
ΔE_f, meV/atom: -182.6

```
VGa2Co5
1.0
-2.9597 1.4906 -1.7582
0.5444 -2.3284 -2.8905
-2.7220 -4.0298 5.1678
Co Ga V
5 2 1
direct
0.3776 0.8776 0.7552
0.1224 0.6224 0.2448
0.5000 0.5000 0.0000
0.8776 0.3776 0.7552
0.6224 0.1224 0.2448
0.2511 0.2511 0.5023
0.7489 0.7489 0.4977
0.0000 0.0000 0.0000
```

***

(8)
Below is a geometry-optimized VGaCo3 structure, with properties calculated at the PBE-GGA level.

Computed properties:
Energy above the most stable polymorph in this dataset, eV per formula unit: 3.60
ΔE_f, meV/atom: 1107.7

```
VGaCo3
1.0
4.2401 0.0000 0.0000
0.0000 4.2401 0.0000
0.0000 0.0000 4.2401
Co V Ga
3 1 1
direct
0.0000 0.0000 0.5000
0.5000 0.0000 0.0000
0.0000 0.5000 0.0000
0.5000 0.5000 0.5000
0.0000 0.0000 0.0000
```

***

(9)
Below is a geometry-optimized VGa2Co2 structure, with properties calculated at the PBE-GGA level.

Computed properties:
Energy above the most stable polymorph in this dataset, eV per formula unit: 0.11
ΔE_f, meV/atom: -87.9

```
VGa2Co2
1.0
6.8541 0.0000 0.0000
0.0000 6.8541 0.0000
0.0000 0.0000 2.7091
Co Ga V
4 4 2
direct
0.8673 0.6327 0.0000
0.1327 0.3673 0.0000
0.3673 0.8673 0.0000
0.6327 0.1327 0.0000
0.8349 0.3349 0.5000
0.1651 0.6651 0.5000
0.6651 0.8349 0.5000
0.3349 0.1651 0.5000
0.0000 0.0000 0.0000
0.5000 0.5000 0.0000
```

***

(10)
Below is a geometry-optimized V4Ga2Co structure, with properties calculated at the PBE-GGA level.

Computed properties:
ΔE_f, meV/atom: 565.4

```
V4Ga2Co
1.0
4.1998 0.0000 0.0000
0.0000 4.1998 0.0000
2.0999 2.0999 6.6742
Ga V Co
2 4 1
direct
0.6350 0.6350 0.7301
0.3650 0.3650 0.2699
0.5000 0.0000 0.0000
0.0000 0.5000 0.0000
0.1709 0.1709 0.6581
0.8291 0.8291 0.3419
0.0000 0.0000 0.0000
```

***

(11)
Below is a geometry-optimized VGa5Co4 structure, with properties calculated at the PBE-GGA level.

Computed properties:
ΔE_f, meV/atom: -250.1

```
VGa5Co4
1.0
2.8409 0.0000 0.0000
0.0000 2.8409 0.0000
0.0000 0.0000 15.3551
Co V Ga
4 1 5
direct
0.0000 0.0000 0.7869
0.0000 0.0000 0.4044
0.0000 0.0000 0.2131
0.0000 0.0000 0.5956
0.0000 0.0000 0.0000
0.5000 0.5000 0.5000
0.5000 0.5000 0.8832
0.5000 0.5000 0.3081
0.5000 0.5000 0.6919
0.5000 0.5000 0.1168
```

***

(12)
Below is a geometry-optimized VGa3Co4 structure, with properties calculated at the PBE-GGA level.

Computed properties:
ΔE_f, meV/atom: -297.9

```
VGa3Co4
1.0
-3.4783 -2.1065 0.2209
-0.4683 0.3509 -4.0301
4.9012 -4.0364 1.1370
Co Ga V
4 3 1
direct
0.3771 0.3771 0.7543
0.6229 0.6229 0.2457
0.8771 0.8771 0.7543
0.1229 0.1229 0.2457
0.7478 0.2478 0.4956
0.2522 0.7522 0.5044
0.0000 0.5000 0.0000
0.5000 0.0000 0.0000
```